(1)
DFT (SCAN) results for HfSBrN2 at its PBEsol-relaxed geometry.

Calculated values
Uncorrected energy   -102.750 eV per cell
Theoretical density   7.65 g/cm3
V   69.1 Å³/f.u.
DOS(E_F)   0.20 states/eV/atom
Formation energy from raw total energies   1.5187 eV/atom

Cell: 3.906 3.906 4.528 Å, 90.00 90.00 90.00°
Sites, in units of the cell vectors:
S  0.000  0.000  0.500
Hf  0.500  0.500  0.500
Br  0.000  0.000  0.000
N  0.000  0.500  0.000
N  0.500  0.000  0.000

=====

(2)
DFT (SCAN) results for HfTeBrN2 at its PBEsol-relaxed geometry.

Calculated values
Uncorrected energy   -136.412 eV per cell
Theoretical density   6.75 g/cm3
V   101.8 Å³/f.u.
DOS(E_F)   0.71 states/eV/atom
Formation energy from raw total energies   0.3108 eV/atom

Cell: 4.101 4.101 6.056 Å, 90.00 90.00 90.00°
Sites, in units of the cell vectors:
Te  0.000  0.000  0.500
Hf  0.000  0.000  0.000
Br  0.500  0.500  0.500
N  0.000  0.500  0.000
N  0.500  0.000  0.000

=====

(3)
DFT (SCAN) results for Na3HfBr at its PBEsol-relaxed geometry.

Calculated values
Uncorrected energy   -90.010 eV per cell
Theoretical density   2.25 g/cm3
V   241.9 Å³/f.u.
DOS(E_F)   2.23 states/eV/atom
Formation energy from raw total energies   0.9535 eV/atom

Cell: 6.231 6.231 6.231 Å, 90.00 90.00 90.00°
Site moments in Bohr magnetons follow the coordinates.
Sites, in units of the cell vectors:
Na  0.000  0.500  0.000  0.06
Na  0.000  0.000  0.500  0.06
Na  0.500  0.000  0.000  0.06
Hf  0.000  0.000  0.000  1.81
Br  0.500  0.500  0.500  0.02

=====

(4)
DFT (SCAN) results for NaHf2Br at its PBEsol-relaxed geometry.

Calculated values
Uncorrected energy   -145.886 eV per cell
Theoretical density   9.13 g/cm3
V   83.6 Å³/f.u.
DOS(E_F)   0.59 states/eV/atom
Formation energy from raw total energies   0.7836 eV/atom

Cell: 4.908 4.908 4.908 Å, 60.00 60.00 60.00°
Sites, in units of the cell vectors:
Na  0.000  0.000  0.000
Hf  0.250  0.250  0.250
Hf  0.750  0.750  0.750
Br  0.500  0.500  0.500

=====

(5)
DFT (SCAN) results for NaHfPdBr2 at its PBEsol-relaxed geometry.

Calculated values
Uncorrected energy   -136.354 eV per cell
Theoretical density   6.66 g/cm3
V   116.5 Å³/f.u.
DOS(E_F)   0.61 states/eV/atom
Formation energy from raw total energies   0.4455 eV/atom

Cell: 4.814 4.814 5.029 Å, 90.00 90.00 90.00°
Site moments in Bohr magnetons follow the coordinates.
Sites, in units of the cell vectors:
Na  0.000  0.000  0.000  0.00
Hf  0.500  0.500  0.500  0.49
Br  0.000  0.500  0.000  -0.01
Br  0.500  0.000  0.000  -0.01
Pd  0.000  0.000  0.500  -0.01

=====

(6)
DFT (SCAN) results for NaHfSeBr2 at its PBEsol-relaxed geometry.

Calculated values
Uncorrected energy   -131.516 eV per cell
Theoretical density   5.18 g/cm3
V   141.1 Å³/f.u.
DOS(E_F)   0.34 states/eV/atom
Formation energy from raw total energies   -1.1261 eV/atom

Cell: 5.143 5.239 5.239 Å, 90.00 90.00 90.00°
Sites, in units of the cell vectors:
Na  0.500  0.500  0.500
Hf  0.000  0.000  0.000
Se  0.500  0.000  0.000
Br  0.000  0.000  0.500
Br  0.000  0.500  0.000